Entry from the Alexandria database: crystalline RbCrRe2 at its relaxed geometry (PBE-GGA).

The structure belongs to space group I4_1/amd (No. 141, origin choice 2); the cell edges are 5.095, 5.095 and 16.058 Å and the angles 90.00°, 90.00° and 90.00°. The inequivalent atoms are Rb at (0.000, 0.250, 0.375), Cr at (0.000, 0.250, 0.875) and Re at (0.000, 0.000, 0.000).

The value obtained for the total magnetization is 0.00 μB per formula unit. Its raw total energy is -6.96 eV per atom. For the formation energy, the calculation gives 7.64 eV/f.u. As for the relative energy among the computed polymorphs: 0 meV per atom. As for the density of states at the Fermi level: 4.69 states/eV/f.u.